First-principles (PBE+U) data for a relaxed MnCoPIrF crystal, as listed in Alexandria via LeMat-Bulk.

Cell: 4.114 4.114 5.755 Å, 93.01 93.01 54.64°
Element x y z (fractional)
Mn (0.000, 0.000, 0.000)
Co (0.707, 0.707, 0.661)
P (0.336, 0.336, 0.427)
Ir (0.017, 0.017, 0.480)
F (0.645, 0.645, 0.005)

offset from the most stable computed form = 0.085 eV per atom
crystal system = monoclinic
space group = Cm (8)